First-principles (PBE-GGA) data for crystalline PmTiHg2 at its relaxed geometry, as listed in Alexandria.

```
PmTiHg2
1.0
3.447 0.000 0.000
-1.724 2.985 0.000
0.000 0.000 28.400
Pm Ti Hg
3 3 6
direct
0.000 0.000 0.000 Pm
0.333 0.667 0.667 Pm
0.667 0.333 0.333 Pm
0.000 0.000 0.500 Ti
0.333 0.667 0.167 Ti
0.667 0.333 0.833 Ti
0.000 0.000 0.240 Hg
0.000 0.000 0.760 Hg
0.333 0.667 0.426 Hg
0.333 0.667 0.907 Hg
0.667 0.333 0.093 Hg
0.667 0.333 0.574 Hg
```

Summary:
**Formation energy**: 0.06 eV/f.u.
**Fermi-level density of states**: 14.7 states/eV per cell
**Offset from the most stable computed form**: 0.1873 eV per atom
**Uncorrected energy**: -0.24236 Ry per atom
**Space-group type**: No. 166

***

First-principles (PBE-GGA) data for crystalline Si2Bi2Mo at its relaxed geometry, as listed in Alexandria.

```
Si2Bi2Mo
1.0
6.676 0.000 0.000
0.000 6.676 0.000
0.000 0.000 4.814
Si Bi Mo
4 4 2
direct
0.135 0.365 0.000 Si
0.365 0.865 0.000 Si
0.635 0.135 0.000 Si
0.865 0.635 0.000 Si
0.177 0.677 0.500 Bi
0.323 0.177 0.500 Bi
0.677 0.823 0.500 Bi
0.823 0.323 0.500 Bi
0.000 0.000 0.000 Mo
0.500 0.500 0.000 Mo
```

Summary:
**Fermi-level density of states**: 8.5 states/eV per cell
**Offset from the most stable computed form**: 0.0000 eV per atom
**Uncorrected energy**: -0.39874 Ry per atom
**E_form (uncorrected)**: 0.46 eV per atom
**Space-group type**: No. 127

***

First-principles (PBE-GGA) data for crystalline CaPaTcN4 at its relaxed geometry, as listed in Alexandria.

```
CaPaTcN4
1.0
6.009 0.000 0.000
0.000 5.600 0.000
-2.179 0.000 6.382
Ca Pa Tc N
2 2 2 8
direct
0.204 0.250 0.440 Ca
0.796 0.750 0.560 Ca
0.299 0.250 0.966 Pa
0.701 0.750 0.034 Pa
0.251 0.750 0.191 Tc
0.749 0.250 0.809 Tc
0.036 0.750 0.927 N
0.054 0.750 0.347 N
0.499 0.512 0.214 N
0.499 0.988 0.214 N
0.501 0.012 0.786 N
0.501 0.488 0.786 N
0.946 0.250 0.653 N
0.964 0.250 0.073 N
```

Summary:
**Fermi-level density of states**: 2.3 states/eV per cell
**Uncorrected energy**: -0.63421 Ry per atom
**E_form (uncorrected)**: -0.75 eV per atom
**Space-group type**: No. 11

***

First-principles (PBE-GGA) data for crystalline SrSnAu2 at its relaxed geometry, as listed in Alexandria.

```
SrSnAu2
1.0
5.937 0.000 0.000
0.000 9.316 0.000
0.000 0.000 3.933
Sr Sn Au
2 2 4
direct
0.000 0.000 0.000 Sr
0.500 0.500 0.000 Sr
0.000 0.500 0.500 Sn
0.500 0.000 0.500 Sn
0.250 0.250 0.500 Au
0.250 0.750 0.500 Au
0.750 0.250 0.500 Au
0.750 0.750 0.500 Au
```

Summary:
**Formation energy**: -2.00 eV/f.u.
**Fermi-level density of states**: 2.7 states/eV per cell
**Uncorrected energy**: -0.26170 Ry per atom
**Space-group type**: No. 65

***

First-principles (PBE-GGA) data for crystalline Y2UPaN6 at its relaxed geometry, as listed in Alexandria.

```
Y2UPaN6
1.0
2.956 1.706 4.943
-2.956 1.706 4.943
0.000 -3.413 4.943
Y U Pa N
2 1 1 6
direct
0.000 0.000 0.000 Y
0.498 0.498 0.498 Y
0.721 0.721 0.721 U
0.224 0.224 0.224 Pa
0.080 0.438 0.853 N
0.361 0.924 0.594 N
0.438 0.853 0.080 N
0.594 0.361 0.924 N
0.853 0.080 0.438 N
0.924 0.594 0.361 N
```

Summary:
**Fermi-level density of states**: 8.7 states/eV per cell
**Uncorrected energy**: -0.71587 Ry per atom
**E_form (uncorrected)**: -1.37 eV per atom
**Space-group type**: No. 146

***

First-principles (PBE-GGA) data for crystalline DyPa6S8 at its relaxed geometry, as listed in Alexandria.

```
DyPa6S8
1.0
4.999 2.886 4.205
-4.999 2.886 4.205
0.000 -5.772 4.205
Dy Pa S
1 6 8
direct
0.000 0.000 0.000 Dy
0.192 0.556 0.416 Pa
0.416 0.192 0.556 Pa
0.444 0.584 0.808 Pa
0.556 0.416 0.192 Pa
0.584 0.808 0.444 Pa
0.808 0.444 0.584 Pa
0.133 0.349 0.772 S
0.223 0.223 0.223 S
0.228 0.867 0.651 S
0.349 0.772 0.133 S
0.651 0.228 0.867 S
0.772 0.133 0.349 S
0.777 0.777 0.777 S
0.867 0.651 0.228 S
```

Summary:
**Fermi-level density of states**: 22.3 states/eV per cell
**Uncorrected energy**: -0.54284 Ry per atom
**E_form (uncorrected)**: -1.08 eV per atom
**Space-group type**: No. 148

***

First-principles (PBE-GGA) data for crystalline YZn2Br at its relaxed geometry, as listed in Alexandria.

```
YZn2Br
1.0
4.093 0.000 0.000
0.000 4.093 0.000
0.000 0.000 5.812
Y Zn Br
1 2 1
direct
0.000 0.000 0.000 Y
0.500 0.500 0.226 Zn
0.500 0.500 0.774 Zn
0.000 0.000 0.500 Br
```

Summary:
**Fermi-level density of states**: 1.6 states/eV per cell
**Offset from the most stable computed form**: 0.1895 eV per atom
**Uncorrected energy**: -0.21636 Ry per atom
**E_form (uncorrected)**: -0.27 eV per atom
**Space-group type**: No. 123

***

First-principles (PBE-GGA) data for crystalline CoSiSe2 at its relaxed geometry, as listed in Alexandria.

```
CoSiSe2
1.0
5.497 0.000 0.000
0.000 5.497 0.000
0.000 0.000 10.983
Co Si Se
4 4 8
direct
0.000 0.000 0.000 Co
0.000 0.500 0.250 Co
0.500 0.000 0.750 Co
0.500 0.500 0.500 Co
0.000 0.000 0.500 Si
0.000 0.500 0.750 Si
0.500 0.000 0.250 Si
0.500 0.500 0.000 Si
0.227 0.250 0.125 Se
0.250 0.727 0.375 Se
0.250 0.773 0.875 Se
0.273 0.250 0.625 Se
0.727 0.750 0.625 Se
0.750 0.227 0.875 Se
0.750 0.273 0.375 Se
0.773 0.750 0.125 Se
```

Summary:
**Fermi-level density of states**: 10.1 states/eV per cell
**Uncorrected energy**: -0.35535 Ry per atom
**E_form (uncorrected)**: 0.04 eV per atom
**Space-group type**: No. 122